{
  "formula": "Li2CrGeF",
  "functional": "PBE+U",
  "state": "optimized geometry",
  "lattice_angstrom": [[5.0330, 0.0000, 0.0000], [0.0000, 4.2444, 0.0000], [0.0000, 0.0000, 5.0330]],
  "species": ["Cr", "Ge", "Li", "Li", "F"],
  "frac_coords": [[0.5000, 0.5000, 0.5000], [0.0000, 0.0000, 0.0000], [0.0000, 0.0000, 0.5000], [0.5000, 0.0000, 0.0000], [0.0000, 0.5000, 0.0000]],
  "magnetic_moment_mub_per_fu": 4.87,
  "spacegroup": "P4/mmm, No. 123",
  "dos_ef_per_ev_atom": 0.61,
  "dft_energy_ev_per_atom": -3.70
}